No. 1
Below is a relaxed ZnIrRu2 crystal, with properties calculated at the PBE level.

Energy relative to the elements   0.80 eV/f.u.
Crystal system   tetragonal
M_tot   0.002 μB/atom

Cell: 3.8074 3.8074 3.9124 Å, 90.00 90.00 90.00°
Last column: nearest neighbours and their distance in Å.
Space group P4/mmm (No. 123)
Asymmetric unit:
Zn  0.0000  0.0000  0.0000 x1  4 Ir 2.69, 8 Ru 2.73
Ir  0.5000  0.5000  0.0000 x1  4 Zn 2.69, 8 Ru 2.73
Ru  0.0000  0.5000  0.5000 x2  4 Ru 2.69, 4 Ir 2.73, 4 Zn 2.73

***

No. 2
Below is a relaxed NaZnPd2 crystal, with properties calculated at the PBE level.

Energy relative to the elements   -0.90 eV/f.u.
Crystal system   trigonal
M_tot   0.000 μB/atom

Cell: 2.9442 2.9442 26.5606 Å, 90.00 90.00 120.00°
Last column: nearest neighbours and their distance in Å.
Space group R-3m (No. 166, hexagonal axes)
Asymmetric unit:
Na  0.0000  0.0000  0.0000 x3  6 Na 2.94, 6 Pd 2.99
Zn  0.0000  0.0000  0.5000 x3  6 Pd 2.60
Pd  0.0000  0.0000  0.2406 x6  3 Zn 2.60

***

No. 3
Below is a relaxed K2SrSb crystal, with properties calculated at the PBE level.

Crystal system   tetragonal
M_tot   0.140 μB/atom
Raw formation energy   -0.231 eV per atom

Cell: 5.0426 5.0426 26.9735 Å, 90.00 90.00 90.00°
Last column: nearest neighbours and their distance in Å.
Space group I-42d (No. 122)
Asymmetric unit:
K  0.2146  0.2500  0.1250 x8  2 K 3.32
Sr  0.0000  0.0000  0.5000 x4  4 Sb 3.57, 4 K 3.88
Sb  0.0000  0.0000  0.0000 x4  4 Sr 3.57, 4 K 3.76

***

No. 4
Below is a relaxed NdHo4 crystal, with properties calculated at the PBE level.

Energy relative to the elements   3.49 eV/f.u.
Crystal system   cubic
M_tot   0.000 μB/atom

Cell: 5.6209 5.6209 5.6209 Å, 90.00 90.00 90.00°
Last column: nearest neighbours and their distance in Å.
Space group Pm-3m (No. 221)
Asymmetric unit:
Nd  0.0000  0.0000  0.0000 x1  6 Ho 2.81
Ho  0.0000  0.0000  0.5000 x3  2 Nd 2.81
Ho  0.5000  0.5000  0.5000 x1  12 Ho 3.97

***

No. 5
Below is a relaxed Pu2TlCd crystal, with properties calculated at the PBE level.

Energy relative to the elements   0.20 eV/f.u.
Crystal system   tetragonal
M_tot   3.063 μB/atom

Cell: 4.1272 4.1272 6.3303 Å, 90.00 90.00 90.00°
Last column: nearest neighbours and their distance in Å.
Space group P4/mmm (No. 123)
Asymmetric unit:
Pu  0.0000  0.0000  0.2504 x2  2 Pu 3.16-3.17, 4 Cd 3.32, 4 Tl 3.32
Tl  0.5000  0.5000  0.0000 x1  2 Cd 3.17, 8 Pu 3.32
Cd  0.5000  0.5000  0.5000 x1  2 Tl 3.17, 8 Pu 3.32

***

No. 6
Below is a relaxed EuSnIr crystal, with properties calculated at the PBE level.

Energy relative to the elements   -1.35 eV/f.u.
Crystal system   hexagonal
M_tot   2.275 μB/atom

Cell: 4.5677 4.5677 4.0922 Å, 90.00 90.00 120.00°
Last column: nearest neighbours and their distance in Å.
Space group P-6m2 (No. 187)
Asymmetric unit:
Eu  0.0000  0.0000  0.0000 x1  6 Sn 3.34, 6 Ir 3.34
Sn  0.3333  0.6667  0.5000 x1  3 Ir 2.64
Ir  0.6667  0.3333  0.5000 x1  3 Sn 2.64

***

No. 7
Below is a relaxed GeH3Pb crystal, with properties calculated at the PBE level.

Crystal system   cubic
Uncorrected energy   -2.815 eV per atom
M_tot   0.000 μB/atom

Cell: 4.1965 4.1965 4.1965 Å, 90.00 90.00 90.00°
Last column: nearest neighbours and their distance in Å.
Space group Pm-3m (No. 221)
Asymmetric unit:
Ge  0.0000  0.0000  0.0000 x1  12 H 2.97
H  0.0000  0.5000  0.5000 x3  2 Pb 2.10
Pb  0.5000  0.5000  0.5000 x1  6 H 2.10

***

No. 8
Below is a relaxed KIr crystal, with properties calculated at the PBE level.

Energy relative to the elements   0.73 eV/f.u.
Crystal system   monoclinic
M_tot   0.000 μB/atom

Cell: 2.8553 4.0859 10.0248 Å, 90.00 93.88 90.00°
Last column: nearest neighbours and their distance in Å.
Space group P2_1/m (No. 11)
Asymmetric unit:
K  0.1724  0.2500  0.2197 x2  2 K 2.86, 1 Ir 3.15
Ir  0.2593  0.2500  0.5344 x2  6 Ir 2.58-2.86

***

No. 9
Below is a relaxed BaRu3 crystal, with properties calculated at the PBE level.

Energy relative to the elements   2.66 eV/f.u.
Crystal system   orthorhombic
M_tot   0.000 μB/atom

Cell: 2.8879 3.6878 7.4623 Å, 90.00 90.00 90.00°
Last column: nearest neighbours and their distance in Å.
Space group Pmmm (No. 47)
Asymmetric unit:
Ba  0.0000  0.0000  0.0000 x1  2 Ba 2.89
Ru  0.0000  0.0000  0.5000 x1  10 Ru 2.66-2.89
Ru  0.5000  0.5000  0.3305 x2  5 Ru 2.53-2.66

***

No. 10
Below is a relaxed LiAcScPt2 crystal, with properties calculated at the PBE level.

Energy relative to the elements   -4.79 eV/f.u.
Crystal system   tetragonal
M_tot   0.000 μB/atom

Cell: 4.1866 4.1866 12.5384 Å, 90.00 90.00 90.00°
Last column: nearest neighbours and their distance in Å.
Space group I-4m2 (No. 119)
Asymmetric unit:
Li  0.0000  0.0000  0.0000 x2  4 Pt 2.71, 4 Sc 2.96
Ac  0.0000  0.5000  0.2500 x2  8 Pt 3.28
Sc  0.0000  0.0000  0.5000 x2  4 Pt 2.71, 4 Li 2.96
Pt  0.0000  0.5000  0.6368 x4  2 Li 2.71, 2 Sc 2.71, 1 Pt 2.84

***

No. 11
Below is a relaxed AlSiPN4 crystal, with properties calculated at the PBE level.

Crystal system   monoclinic
M_tot   0.000 μB/atom
Raw formation energy   -0.588 eV per atom

Cell: 10.0723 2.8402 4.7761 Å, 90.00 110.04 90.00°
Last column: nearest neighbours and their distance in Å.
Space group Cm (No. 8)
Asymmetric unit:
Al  0.0000  0.0000  0.0000 x2  6 N 2.00-2.12
Si  0.3167  0.5000  0.2575 x2  4 N 1.72-1.87
P  0.1684  0.5000  0.6429 x2  4 N 1.65-1.71
N  0.0928  0.0000  0.4717 x2  2 P 1.69
N  0.1348  0.5000  0.9708 x2  1 P 1.71, 1 Si 1.87
N  0.3290  0.5000  0.6266 x2  1 P 1.65, 1 Si 1.72
N  0.3804  0.0000  0.1373 x2  2 Si 1.73

***

No. 12
Below is a relaxed PrDy12Sc7 crystal, with properties calculated at the PBE level.

Energy relative to the elements   3.57 eV/f.u.
Crystal system   trigonal
M_tot   0.000 μB/atom

Cell: 14.6334 14.6334 9.6558 Å, 90.00 90.00 120.00°
Last column: nearest neighbours and their distance in Å.
Space group R-3 (No. 148, hexagonal axes)
Asymmetric unit:
Pr  0.0000  0.0000  0.0000 x3  6 Sc 3.19
Dy  0.0186  0.7703  0.9183 x18  3 Sc 3.20-3.53, 1 Dy 3.27
Dy  0.0744  0.2568  0.4471 x18  4 Sc 3.13-3.50, 4 Dy 3.27-3.50
Sc  0.0000  0.0000  0.5000 x3  6 Sc 3.19, 6 Dy 3.39
Sc  0.0124  0.1484  0.7495 x18  5 Dy 3.13-3.50, 1 Sc 3.19, 1 Pr 3.19